# La8TbY2, relaxed, DFT PBE
data_La8TbY2
_cell_length_a 9.295
_cell_length_b 16.946
_cell_length_c 6.093
_cell_angle_alpha 90.00
_cell_angle_beta 124.44
_cell_angle_gamma 90.00
_space_group_name_H-M_alt 'C 1 2/m 1'
_space_group_IT_number 12
loop_
_space_group_symop_operation_xyz
'x,y,z'
'-x,-y,-z'
'-x,y,-z'
'x,-y,z'
'x+1/2,y+1/2,z'
'-x+1/2,-y+1/2,-z'
'-x+1/2,y+1/2,-z'
'x+1/2,-y+1/2,z'
loop_
_atom_site_label
_atom_site_type_symbol
_atom_site_fract_x
_atom_site_fract_y
_atom_site_fract_z
La1 La 0.000 0.205 0.000
La2 La 0.079 0.500 0.800
La3 La 0.216 0.119 0.687
Tb1 Tb 0.000 0.000 0.000
Y1 Y 0.000 0.311 0.500
# ΔE_f (eV per atom): 0.124
# DOS at the Fermi energy (states/eV/cell): 31.86
# Calculated volume (Å³/atom): 36.0
# Crystal system: monoclinic
# E (eV/atom): -5.056